1.
PBE-GGA LaSnP, relaxed; DOS(E_F) = 0.87 states/eV/cell; total magnetization = 0.0 μB per formula unit; E_tot = -5.657 eV per atom; E_form = -0.88 eV per atom
1.0
2.586 1.493 7.620
-2.586 1.493 7.620
0.000 -2.986 7.620
La Sn P
2 2 2
Cartesian
0.000 0.000 2.233
0.000 0.000 20.626
0.000 0.000 7.674
0.000 0.000 15.185
0.000 0.000 5.079
0.000 0.000 17.780

=====

2.
PBE-GGA Ce4RhSe2Cl, relaxed; DOS(E_F) = 22.43 states/eV/cell; total magnetization = 3.7 μB per formula unit; E_tot = -6.396 eV per atom; E_form (uncorrected) = -11.26 eV/f.u.
1.0
7.193 0.000 0.000
0.000 4.041 0.000
-2.391 0.000 6.937
Ce Rh Se Cl
4 1 2 1
Cartesian
1.123 0.000 1.627
-0.010 2.020 5.233
4.813 2.020 1.705
3.680 0.000 5.311
0.000 2.020 0.000
-1.195 0.000 3.469
2.401 2.020 3.469
3.597 0.000 0.000

=====

3.
PBE-GGA ThPaAu2, relaxed; DOS(E_F) = 7.47 states/eV/cell; total magnetization = 0.9 μB per formula unit; E_tot = -6.065 eV per atom; E_form = -0.20 eV per atom; excess energy over the best structure of this formula in the dataset = 185.5 meV/atom
1.0
1.972 1.139 8.068
-1.972 1.139 8.068
0.000 -2.277 8.068
Th Pa Au
1 1 2
Cartesian
0.000 0.000 0.000
0.000 0.000 12.102
0.000 0.000 5.982
0.000 0.000 18.221

=====

4.
PBE-GGA Ta2NbTl, relaxed; DOS(E_F) = 6.80 states/eV/cell; total magnetization = 0.0 μB per formula unit; E_tot = -8.091 eV per atom; E_form = 0.94 eV per atom; excess energy over the best structure of this formula in the dataset = 524.0 meV/atom
1.0
-3.834 3.834 2.860
3.834 -3.834 2.860
3.834 3.834 -2.860
Ta Nb Tl
4 2 2
Cartesian
1.917 1.767 -0.715
2.067 -1.917 3.575
1.917 2.067 2.145
1.767 5.750 0.715
0.000 0.000 0.000
0.000 3.834 1.430
3.834 0.000 1.430
0.000 0.000 2.860

=====

5.
PBE-GGA YW5, relaxed; DOS(E_F) = 3.22 states/eV/cell; total magnetization = 0.0 μB per formula unit; E_tot = -11.556 eV per atom; E_form = 0.32 eV per atom; excess energy over the best structure of this formula in the dataset = 54.9 meV/atom
1.0
5.244 -1.605 0.000
5.244 1.605 0.000
-2.069 0.000 6.240
Y W
1 5
Cartesian
0.000 0.000 0.000
-1.034 0.000 3.120
2.054 0.000 4.063
3.049 0.000 1.088
5.370 0.000 5.151
6.365 0.000 2.177

=====

6.
PBE-GGA Pu2Pd15Au2, relaxed; DOS(E_F) = 42.40 states/eV/cell; total magnetization = 8.5 μB per formula unit; E_tot = -6.003 eV per atom; E_form = -0.05 eV per atom
1.0
4.617 2.665 4.596
-4.617 2.665 4.596
0.000 -5.331 4.596
Pu Pd Au
2 15 2
Cartesian
0.000 0.000 1.592
0.000 0.000 12.195
-4.617 0.000 6.894
-1.439 -2.838 4.596
-2.308 1.333 2.298
-3.178 0.173 4.596
-2.234 -1.290 6.741
1.439 -2.838 4.596
-1.738 2.665 4.596
0.000 -2.580 7.046
-2.234 1.290 7.046
2.308 1.333 2.298
2.234 -1.290 6.741
0.000 2.580 6.741
3.178 0.173 4.596
1.738 2.665 4.596
2.234 1.290 7.046
0.000 0.000 5.079
0.000 0.000 8.709